Below is a relaxed structure of TaCd2Si, with properties calculated at the GGA-PBE level.

The calculation puts the uncorrected formation energy at 305 meV/atom. The value obtained for the density of states at the Fermi level is 3.752 states/eV/cell.

The space group is Cmmm (No. 65) and the conventional cell measures 5.4533, 9.2936 and 2.9868 Å, with angles of 90.00, 90.00 and 90.00 degrees. The inequivalent atoms are Ta at (0.0000, 0.0000, 0.0000), Cd at (0.2500, 0.2500, 0.5000) and Si at (0.0000, 0.5000, 0.0000).